No. 1
# Na3CeNd2S6

A geometry-optimized Na3CeNd2S6 structure (PBE, the Alexandria database).

abc: 7.163 7.163 7.093
angles: 99.69 99.69 120.00
Sites, in units of the cell vectors:
1 Na 0.000 0.000 0.000
2 Na 0.333 0.667 0.000
3 Na 0.667 0.333 0.000
4 Ce 0.500 0.500 0.500
5 Nd 0.167 0.833 0.500
6 Nd 0.833 0.167 0.500
7 S 0.090 0.422 0.267
8 S 0.245 0.245 0.733
9 S 0.422 0.090 0.267
10 S 0.578 0.910 0.733
11 S 0.755 0.755 0.267
12 S 0.910 0.578 0.733

Results
- Density: 3.86 g/cm³
- DOS(E_F): 4.73 states/eV per cell
- DFT total energy: -5.456 eV per atom

***

No. 2
# Na3Ce3NdS8

A geometry-optimized Na3Ce3NdS8 structure (PBE, the Alexandria database).

abc: 8.172 8.172 8.172
angles: 60.79 60.79 60.79
Sites, in units of the cell vectors:
1 Na 0.000 0.500 0.500
2 Na 0.500 0.000 0.500
3 Na 0.500 0.500 0.000
4 Ce 0.000 0.000 0.500
5 Ce 0.000 0.500 0.000
6 Ce 0.500 0.000 0.000
7 Nd 0.500 0.500 0.500
8 S 0.239 0.743 0.743
9 S 0.244 0.244 0.244
10 S 0.257 0.257 0.761
11 S 0.257 0.761 0.257
12 S 0.743 0.239 0.743
13 S 0.743 0.743 0.239
14 S 0.756 0.756 0.756
15 S 0.761 0.257 0.257

Results
- Density: 3.76 g/cm³
- DOS(E_F): 13.75 states/eV per cell
- DFT total energy: -5.731 eV per atom